KSc2Os: relaxed, PBE.

a b c (Å): 10.384 10.384 10.384
angles (deg): 21.83 21.83 21.83
Atoms (fractional coordinates):
Sc (0.125, 0.125, 0.125)
K (0.000, 0.000, 0.000)
Os (0.500, 0.500, 0.500)
Sc (0.875, 0.875, 0.875)

Its density of states at the Fermi level is 2.4 states/eV/f.u. The relative energy among the computed polymorphs is 1.11 eV/f.u. Its formation energy is 0.1937 eV/atom. For the calculated volume, the calculation gives 135.7 Å³/cell. The calculation puts the theoretical density at 3.9 g/cm3.